#one
Entry from Alexandria via LeMat-Bulk: BaSr4 after structural relaxation (PBE).

Cell and atoms, written as POSCAR:
```
BaSr4
1.0
6.737 0.000 0.000
0.000 6.737 0.000
0.000 0.000 6.737
Sr Ba
4 1
Cartesian
0.000 0.000 0.000
3.369 0.000 3.369
0.000 3.369 3.369
3.369 3.369 0.000
3.369 3.369 3.369
```

Output
Crystal system = cubic
Space-group type = No. 221



#two
Entry from Alexandria via LeMat-Bulk: BaSr4 after structural relaxation (PBE).

Cell and atoms, written as POSCAR:
```
BaSr4
1.0
-15.094 -4.050 8.284
-12.460 -6.202 10.915
-13.217 -2.021 11.579
Sr Ba
4 1
Cartesian
-24.391 -7.343 18.413
-8.133 -2.448 6.140
-32.638 -9.826 24.638
-16.380 -4.931 12.365
0.000 0.000 0.000
```

Output
Crystal system = trigonal
Space-group type = No. 166



The structure shown above that is most stable: #two.